Here is a relaxed structure of CrTeO3 from the Alexandria database. Energies are from GGA+U.

The structure in CIF format:
```
data_CrTeO3
_cell_length_a 3.822
_cell_length_b 3.822
_cell_length_c 3.822
_cell_angle_alpha 90.00
_cell_angle_beta 90.00
_cell_angle_gamma 90.00
_space_group_name_H-M_alt 'P m -3 m'
_space_group_IT_number 221
_space_group_name_Hall '-P 4 2 3'
loop_
_atom_site_label
_atom_site_type_symbol
_atom_site_fract_x
_atom_site_fract_y
_atom_site_fract_z
Cr1 Cr 0.000 0.000 0.000
Te1 Te 0.500 0.500 0.500
O1 O 0.000 0.000 0.500
```

spin magnetization	0.0	μB per formula unit
final energy	-5.445	eV per atom